VASP calculation (GGA-PBE) on an optimized crystal structure of Sc3AuC.

Cell lengths 6.3512, 5.5197, 6.3508 Å; angles 74.02, 60.01, 89.98 degrees
Element x y z (fractional)
C (0.3018, 0.7554, 0.5867)
C (0.5498, 0.2686, 0.0908)
Au (0.9334, 0.5048, 0.3234)
Au (0.6768, 0.0031, 0.8374)
Sc (0.1655, 0.0456, 0.3729)
Sc (0.1480, 0.9210, 0.8942)
Sc (0.6518, 0.0454, 0.3731)
Sc (0.4628, 0.5730, 0.2643)
Sc (0.4543, 0.4788, 0.7927)
Sc (0.9431, 0.4792, 0.7928)

- Formation energy: -2.77 eV per formula unit